## CsUNbO6 (GGA-PBEsol)

Data for a geometry-optimized CsUNbO6 structure.

Calculated values
As for the space group: P2_1/c (14). The uncorrected formation energy comes out at -2.732 eV/atom.

a = 7.5267 Å, b = 8.6928 Å, c = 10.6367 Å
α = 90.00°, β = 103.33°, γ = 90.00°
Sites, in units of the cell vectors:
Cs1 0.5352 0.7763 0.8510
Cs2 0.4648 0.2763 0.6490
Cs3 0.4648 0.2237 0.1490
Cs4 0.5352 0.7237 0.3510
U1 0.0123 0.0176 0.3219
U2 0.9877 0.5176 0.1781
U3 0.9877 0.9824 0.6781
U4 0.0123 0.4824 0.8219
Nb1 0.1147 0.8499 0.0555
Nb2 0.8853 0.3499 0.4445
Nb3 0.8853 0.1501 0.9445
Nb4 0.1147 0.6501 0.5555
O1 0.7681 0.9784 0.2712
O2 0.2319 0.4784 0.2288
O3 0.2319 0.0216 0.7288
O4 0.7681 0.5216 0.7712
O5 0.7440 0.9398 0.6299
O6 0.2560 0.4398 0.8701
O7 0.2560 0.0602 0.3701
O8 0.7440 0.5602 0.1299
O9 0.9667 0.9404 0.8883
O10 0.0333 0.4404 0.6117
O11 0.0333 0.0596 0.1117
O12 0.9667 0.5596 0.3883
O13 0.0359 0.8549 0.4948
O14 0.9641 0.3549 0.0052
O15 0.9641 0.1451 0.5052
O16 0.0359 0.6451 0.9948
O17 0.3539 0.8669 0.0701
O18 0.6461 0.3669 0.4299
O19 0.6461 0.1331 0.9299
O20 0.3539 0.6331 0.5701
O21 0.0724 0.7866 0.2224
O22 0.9276 0.2866 0.2776
O23 0.9276 0.2134 0.7776
O24 0.0724 0.7134 0.7224

***

## Ti3BeAs (GGA-PBEsol)

Data for a geometry-optimized Ti3BeAs structure.

Calculated values
As for the space group: Pm-3m (221). Its formation energy is 0.45 eV/atom.

a = 4.6024 Å, b = 4.6024 Å, c = 4.6024 Å
α = 90.00°, β = 90.00°, γ = 90.00°
Sites, in units of the cell vectors:
Be1 0.5000 0.5000 0.5000
As1 0.0000 0.0000 0.0000
Ti1 0.0000 0.5000 0.0000
Ti2 0.0000 0.0000 0.5000
Ti3 0.5000 0.0000 0.0000

***

Copy entry 1 word for word.
## CsUNbO6 (GGA-PBEsol)

Data for a geometry-optimized CsUNbO6 structure.

Calculated values
As for the space group: P2_1/c (14). The uncorrected formation energy comes out at -2.732 eV/atom.

a = 7.5267 Å, b = 8.6928 Å, c = 10.6367 Å
α = 90.00°, β = 103.33°, γ = 90.00°
Sites, in units of the cell vectors:
Cs1 0.5352 0.7763 0.8510
Cs2 0.4648 0.2763 0.6490
Cs3 0.4648 0.2237 0.1490
Cs4 0.5352 0.7237 0.3510
U1 0.0123 0.0176 0.3219
U2 0.9877 0.5176 0.1781
U3 0.9877 0.9824 0.6781
U4 0.0123 0.4824 0.8219
Nb1 0.1147 0.8499 0.0555
Nb2 0.8853 0.3499 0.4445
Nb3 0.8853 0.1501 0.9445
Nb4 0.1147 0.6501 0.5555
O1 0.7681 0.9784 0.2712
O2 0.2319 0.4784 0.2288
O3 0.2319 0.0216 0.7288
O4 0.7681 0.5216 0.7712
O5 0.7440 0.9398 0.6299
O6 0.2560 0.4398 0.8701
O7 0.2560 0.0602 0.3701
O8 0.7440 0.5602 0.1299
O9 0.9667 0.9404 0.8883
O10 0.0333 0.4404 0.6117
O11 0.0333 0.0596 0.1117
O12 0.9667 0.5596 0.3883
O13 0.0359 0.8549 0.4948
O14 0.9641 0.3549 0.0052
O15 0.9641 0.1451 0.5052
O16 0.0359 0.6451 0.9948
O17 0.3539 0.8669 0.0701
O18 0.6461 0.3669 0.4299
O19 0.6461 0.1331 0.9299
O20 0.3539 0.6331 0.5701
O21 0.0724 0.7866 0.2224
O22 0.9276 0.2866 0.2776
O23 0.9276 0.2134 0.7776
O24 0.0724 0.7134 0.7224